# 1
A plane-wave DFT calculation with PBE-GGA was carried out for a relaxed structure of Li5Pd2. Values from VASP.

## Properties
crystal system: trigonal
total energy: -0.2336 Ry/atom
space group: R-3m, No. 166

Structure (Quantum ESPRESSO input):
```
&SYSTEM
  ibrav = 0, nat = 7, ntyp = 2
/
ATOMIC_SPECIES
Li 6.94 Li.upf
Pd 106.42 Pd.upf
ATOMIC_POSITIONS crystal
Li 0.000 0.000 0.000
Li 0.145 0.145 0.145
Li 0.286 0.286 0.286
Li 0.714 0.714 0.714
Li 0.855 0.855 0.855
Pd 0.428 0.428 0.428
Pd 0.572 0.572 0.572
CELL_PARAMETERS angstrom
2.124 1.226 6.277
-2.124 1.226 6.277
0.000 -2.453 6.277
```

---

# 2
A plane-wave DFT calculation with PBE-GGA was carried out for a relaxed structure of Sr2TmSe3. Values from VASP.

## Properties
crystal system: trigonal
total energy: -0.3642 Ry/atom
space group: P-3m1, No. 164

Structure (Quantum ESPRESSO input):
```
&SYSTEM
  ibrav = 0, nat = 6, ntyp = 3
/
ATOMIC_SPECIES
Sr 87.62 Sr.upf
Tm 168.93 Tm.upf
Se 78.96 Se.upf
ATOMIC_POSITIONS crystal
Sr 0.333 0.667 0.174
Sr 0.667 0.333 0.826
Tm 0.000 0.000 0.500
Se 0.000 0.000 0.000
Se 0.333 0.667 0.646
Se 0.667 0.333 0.354
CELL_PARAMETERS angstrom
4.250 0.000 0.000
-2.125 3.680 0.000
0.000 0.000 10.620
```

---

# 3
A plane-wave DFT calculation with PBE-GGA was carried out for a relaxed structure of Au2SeO. Values from VASP.

## Properties
crystal system: monoclinic
total energy: -0.2686 Ry/atom
space group: P2_1/c, No. 14

Structure (Quantum ESPRESSO input):
```
&SYSTEM
  ibrav = 0, nat = 16, ntyp = 3
/
ATOMIC_SPECIES
Au 196.97 Au.upf
Se 78.96 Se.upf
O 16.00 O.upf
ATOMIC_POSITIONS crystal
Au 0.071 0.124 0.212
Au 0.071 0.376 0.712
Au 0.403 0.740 0.012
Au 0.403 0.760 0.512
Au 0.597 0.240 0.488
Au 0.597 0.260 0.988
Au 0.929 0.624 0.288
Au 0.929 0.876 0.788
Se 0.263 0.103 0.555
Se 0.263 0.397 0.055
Se 0.737 0.603 0.945
Se 0.737 0.897 0.445
O 0.114 0.647 0.569
O 0.114 0.853 0.069
O 0.886 0.147 0.931
O 0.886 0.353 0.431
CELL_PARAMETERS angstrom
6.484 0.000 0.000
0.000 7.692 0.000
-0.045 0.000 6.212
```

---

# 4
A plane-wave DFT calculation with PBE-GGA was carried out for a relaxed structure of Sm3Mg3TlZn2. Values from VASP.

## Properties
crystal system: hexagonal
total energy: -0.2133 Ry/atom
space group: P-62m, No. 189

Structure (Quantum ESPRESSO input):
```
&SYSTEM
  ibrav = 0, nat = 9, ntyp = 4
/
ATOMIC_SPECIES
Sm 150.36 Sm.upf
Mg 24.30 Mg.upf
Tl 204.38 Tl.upf
Zn 65.41 Zn.upf
ATOMIC_POSITIONS crystal
Sm 0.000 0.431 0.000
Sm 0.431 0.000 0.000
Sm 0.569 0.569 0.000
Mg 0.000 0.750 0.500
Mg 0.250 0.250 0.500
Mg 0.750 0.000 0.500
Tl 0.000 0.000 0.000
Zn 0.333 0.667 0.500
Zn 0.667 0.333 0.500
CELL_PARAMETERS angstrom
7.409 0.000 0.000
-3.704 6.416 0.000
0.000 0.000 4.669
```